{
  "formula": "AcCu2Sn",
  "functional": "GGA-PBE",
  "state": "relaxed",
  "delta_e_f_ev_per_atom": -0.0059,
  "space_group": "No. 123",
  "vol_a3_per_atom": 22.63,
  "lattice": [[3.597, 0.000, 0.000], [0.000, 3.597, 0.000], [0.000, 0.000, 6.999]],
  "species": ["Ac", "Cu", "Cu", "Sn"],
  "frac_coords": [[0.000, 0.000, 0.000], [0.500, 0.500, 0.303], [0.500, 0.500, 0.697], [0.000, 0.000, 0.500]]
}


{
  "formula": "CaSm14Dy",
  "functional": "GGA-PBE",
  "state": "relaxed",
  "delta_e_f_ev_per_atom": 0.0408,
  "space_group": "No. 38",
  "vol_a3_per_atom": 34.36,
  "lattice": [[11.662, 0.000, 0.000], [0.000, 3.692, 6.385], [0.000, -3.692, 6.385]],
  "species": ["Ca", "Sm", "Sm", "Sm", "Sm", "Sm", "Sm", "Sm", "Sm", "Sm", "Sm", "Sm", "Sm", "Sm", "Sm", "Dy"],
  "frac_coords": [[0.000, 0.000, 0.000], [0.000, 0.500, 0.998], [0.000, 0.998, 0.500], [0.247, 0.667, 0.667], [0.251, 0.170, 0.662], [0.251, 0.662, 0.170], [0.252, 0.170, 0.170], [0.500, 0.000, 0.500], [0.500, 0.001, 0.001], [0.500, 0.500, 0.000], [0.500, 0.501, 0.501], [0.748, 0.170, 0.170], [0.749, 0.170, 0.662], [0.749, 0.662, 0.170], [0.753, 0.667, 0.667], [0.000, 0.501, 0.501]]
}


{
  "formula": "CaTaSi2",
  "functional": "GGA-PBE",
  "state": "relaxed",
  "e_above_lowest_polymorph_mev_per_atom": 503.6,
  "space_group": "No. 122",
  "raw_formation_energy_mev_per_atom": 252.4,
  "vol_a3_per_atom": 25.72,
  "lattice": [[4.911, 0.000, 0.000], [0.000, 4.911, 0.000], [0.000, 0.000, 17.063]],
  "species": ["Ca", "Ca", "Ca", "Ca", "Ta", "Ta", "Ta", "Ta", "Si", "Si", "Si", "Si", "Si", "Si", "Si", "Si"],
  "frac_coords": [[0.000, 0.000, 0.000], [0.000, 0.500, 0.250], [0.500, 0.000, 0.750], [0.500, 0.500, 0.500], [0.000, 0.000, 0.500], [0.000, 0.500, 0.750], [0.500, 0.000, 0.250], [0.500, 0.500, 0.000], [0.058, 0.250, 0.625], [0.250, 0.558, 0.875], [0.250, 0.942, 0.375], [0.442, 0.250, 0.125], [0.558, 0.750, 0.125], [0.750, 0.058, 0.375], [0.750, 0.442, 0.875], [0.942, 0.750, 0.625]]
}


{
  "formula": "LaCoNi2",
  "functional": "GGA-PBE",
  "state": "relaxed",
  "delta_e_f_ev_per_atom": 0.1382,
  "space_group": "No. 123",
  "vol_a3_per_atom": 15.92,
  "lattice": [[3.107, 0.000, 0.000], [0.000, 3.107, 0.000], [0.000, 0.000, 6.593]],
  "species": ["La", "Co", "Ni", "Ni"],
  "frac_coords": [[0.000, 0.000, 0.000], [0.000, 0.000, 0.500], [0.500, 0.500, 0.320], [0.500, 0.500, 0.680]]
}


{
  "formula": "GeHIr",
  "functional": "GGA-PBE",
  "state": "relaxed",
  "e_above_lowest_polymorph_mev_per_atom": 0.0,
  "space_group": "No. 107",
  "vol_a3_per_atom": 12.53,
  "lattice": [[3.142, 0.000, 0.000], [0.000, 3.142, 0.000], [0.000, 0.000, 7.612]],
  "species": ["Ge", "Ge", "H", "H", "Ir", "Ir"],
  "frac_coords": [[0.000, 0.000, 0.000], [0.500, 0.500, 0.500], [0.000, 0.000, 0.453], [0.500, 0.500, 0.953], [0.000, 0.000, 0.669], [0.500, 0.500, 0.169]]
}


{
  "formula": "TbDySe2",
  "functional": "GGA-PBE",
  "state": "relaxed",
  "e_above_lowest_polymorph_mev_per_atom": 10.5,
  "space_group": "No. 194",
  "raw_formation_energy_mev_per_atom": -1750.5,
  "vol_a3_per_atom": 24.22,
  "lattice": [[4.009, 0.000, 0.000], [-2.005, 3.472, 0.000], [0.000, 0.000, 13.918]],
  "species": ["Tb", "Tb", "Dy", "Dy", "Se", "Se", "Se", "Se"],
  "frac_coords": [[0.000, 0.000, 0.000], [0.000, 0.000, 0.500], [0.333, 0.667, 0.250], [0.667, 0.333, 0.750], [0.333, 0.667, 0.624], [0.333, 0.667, 0.876], [0.667, 0.333, 0.124], [0.667, 0.333, 0.376]]
}


{
  "formula": "Zr3SbTe",
  "functional": "GGA-PBE",
  "state": "relaxed",
  "e_above_lowest_polymorph_mev_per_atom": 788.9,
  "space_group": "No. 221",
  "raw_formation_energy_mev_per_atom": 502.1,
  "vol_a3_per_atom": 29.17,
  "lattice": [[5.264, 0.000, 0.000], [0.000, 5.264, 0.000], [0.000, 0.000, 5.264]],
  "species": ["Zr", "Zr", "Zr", "Sb", "Te"],
  "frac_coords": [[0.000, 0.000, 0.500], [0.000, 0.500, 0.000], [0.500, 0.000, 0.000], [0.500, 0.500, 0.500], [0.000, 0.000, 0.000]]
}


{
  "formula": "Sr2MnNi",
  "functional": "GGA-PBE",
  "state": "relaxed",
  "delta_e_f_ev_per_atom": 0.5900,
  "space_group": "No. 166",
  "vol_a3_per_atom": 30.98,
  "lattice": [[4.028, 0.000, 0.000], [-2.014, 3.488, 0.000], [0.000, 0.000, 26.462]],
  "species": ["Sr", "Sr", "Sr", "Sr", "Sr", "Sr", "Mn", "Mn", "Mn", "Ni", "Ni", "Ni"],
  "frac_coords": [[0.000, 0.000, 0.235], [0.000, 0.000, 0.765], [0.333, 0.667, 0.432], [0.333, 0.667, 0.901], [0.667, 0.333, 0.099], [0.667, 0.333, 0.568], [0.000, 0.000, 0.000], [0.333, 0.667, 0.667], [0.667, 0.333, 0.333], [0.000, 0.000, 0.500], [0.333, 0.667, 0.167], [0.667, 0.333, 0.833]]
}


Table of size of the total moment (μB/f.u.), in record order: 0.000 0.001 0.000 2.603 0.000 0.000 0.000 4.092